Record 1
Compound: SrLa2GaO
Source: Alexandria via LeMat-Bulk
Functional: PBE
Structure: relaxed

a b c (Å): 5.0331 5.0331 5.0878
angles (deg): 90.00 90.00 90.00
Closest atoms and distances in Å follow each position.
Atoms (fractional coordinates):
Sr: 0.0000 0.0000 0.5000  2 O 2.54
O: 0.0000 0.0000 0.0000  4 La 2.52, 2 Sr 2.54
La: 0.0000 0.5000 0.0000  2 O 2.52
La: 0.5000 0.0000 0.0000  2 O 2.52
Ga: 0.5000 0.5000 0.5000  4 Sr 3.56, 8 La 3.58

SG: No. 123
Electronic total energy in eV/atom: -5.22
DOS(E_F) in states/eV/atom: 0.53


Record 2
Compound: SrLaGaO4
Source: Alexandria via LeMat-Bulk
Functional: PBE
Structure: relaxed

a b c (Å): 5.4878 5.4897 6.9330
angles (deg): 90.00 113.31 90.00
Closest atoms and distances in Å follow each position.
Atoms (fractional coordinates):
Sr: 0.6053 0.7500 0.2106  5 O 2.44-2.68
Sr: 0.3947 0.2500 0.7894  5 O 2.44-2.68
O: 0.5000 0.5000 0.5000  2 Ga 1.94
O: 0.9256 0.2500 0.8512  1 Ga 2.32, 1 La 2.34
O: 0.5000 0.0000 0.5000  2 Ga 1.94
O: 0.0000 0.0000 0.5000  2 Ga 1.94
O: 0.0000 0.5000 0.5000  2 Ga 1.94
O: 0.0744 0.7500 0.1488  1 Ga 2.32, 1 La 2.34
O: 0.5865 0.2500 0.1730  1 Ga 2.00
O: 0.4135 0.7500 0.8270  1 Ga 2.00
La: 0.8903 0.7500 0.7806  1 O 2.34
La: 0.1097 0.2500 0.2194  1 O 2.34
Ga: 0.7433 0.2500 0.4866  5 O 1.94-2.00
Ga: 0.2567 0.7500 0.5134  5 O 1.94-2.00

SG: No. 63
Electronic total energy in eV/atom: -6.92
DOS(E_F) in states/eV/atom: 0.00


Record 3
Compound: La6TaGa11O28
Source: Alexandria via LeMat-Bulk
Functional: PBE
Structure: relaxed

a b c (Å): 9.7933 9.7933 10.3517
angles (deg): 58.13 58.13 50.17
Closest atoms and distances in Å follow each position.
Atoms (fractional coordinates):
O: 0.5454 0.3181 0.7248  2 Ga 1.87-1.92
O: 0.5389 0.3093 0.2214  2 Ga 1.87
O: 0.4543 0.8586 0.1909  2 Ga 1.87-1.91
O: 0.6693 0.6616 0.4246  1 Ga 1.82
O: 0.7784 0.0841 0.4539  1 Ga 1.90, 1 Ta 2.01
O: 0.8621 0.9164 0.7259  1 Ga 1.90, 1 Ta 2.01
O: 0.9159 0.2216 0.5461  1 Ga 1.90, 1 Ta 2.01
O: 0.0836 0.1379 0.2741  1 Ga 1.90, 1 Ta 2.01
O: 0.8516 0.6847 0.0830  2 Ga 1.88
O: 0.3284 0.3347 0.0786  1 Ga 1.82
O: 0.9310 0.2176 0.0483  2 Ga 1.85-2.04
O: 0.1398 0.7768 0.4268  1 Ga 1.90, 1 Ta 2.00
O: 0.1457 0.7828 0.9134  2 Ga 1.85-2.04
O: 0.2172 0.8543 0.0866  2 Ga 1.85-2.04
O: 0.2232 0.8602 0.5732  1 Ga 1.90, 1 Ta 2.00
O: 0.7824 0.0690 0.9517  2 Ga 1.85-2.04
O: 0.4605 0.8533 0.6936  2 Ga 1.87-1.88
O: 0.3153 0.1484 0.9170  2 Ga 1.88
O: 0.1414 0.5457 0.8091  2 Ga 1.87-1.91
O: 0.0674 0.1476 0.7684  2 Ga 1.85-2.04
O: 0.6819 0.4546 0.2752  2 Ga 1.87-1.92
O: 0.8524 0.9326 0.2316  2 Ga 1.85-2.04
O: 0.1467 0.5395 0.3064  2 Ga 1.87-1.88
O: 0.8581 0.6894 0.5740  2 Ga 1.86-1.91
O: 0.6653 0.6716 0.9214  1 Ga 1.82
O: 0.3106 0.1419 0.4260  2 Ga 1.86-1.91
O: 0.3384 0.3307 0.5754  1 Ga 1.82
O: 0.6907 0.4611 0.7786  2 Ga 1.87
Ga: 0.3334 0.3379 0.8986  4 O 1.82-1.88
Ga: 0.7644 0.2436 0.7553  4 O 1.85-1.92
Ga: 0.2419 0.9962 0.6365  4 O 1.85-1.91
Ga: 0.6621 0.6666 0.1014  4 O 1.82-1.88
Ga: 0.9990 0.0010 0.0000  6 O 2.04
Ga: 0.3336 0.3292 0.4027  4 O 1.82-1.88
Ga: 0.2397 0.0052 0.1211  4 O 1.85-1.91
Ga: 0.0038 0.7581 0.3635  4 O 1.85-1.91
Ga: 0.9948 0.7603 0.8789  4 O 1.85-1.91
Ga: 0.7564 0.2356 0.2447  4 O 1.85-1.92
Ga: 0.6708 0.6664 0.5973  4 O 1.82-1.88
La: 0.5750 0.9974 0.7140  6 O 2.43-2.64
La: 0.5783 0.0022 0.2090  5 O 2.39-2.66
La: 0.9978 0.4217 0.7910  5 O 2.39-2.66
La: 0.4166 0.5834 0.0000  4 O 2.38-2.49
La: 0.0026 0.4250 0.2860  6 O 2.43-2.64
La: 0.4321 0.5679 0.5000  6 O 2.42-2.63
Ta: 0.0014 0.9986 0.5000  6 O 2.00-2.01

SG: No. 5
Electronic total energy in eV/atom: -7.15
DOS(E_F) in states/eV/atom: 0.00


Record 4
Compound: La3TaGa5O14
Source: Alexandria via LeMat-Bulk
Functional: PBE
Structure: relaxed

a b c (Å): 5.2726 8.3215 8.3215
angles (deg): 120.00 90.00 90.00
Closest atoms and distances in Å follow each position.
Atoms (fractional coordinates):
O: 0.3023 0.8571 0.3168  2 Ga 1.88-1.90
O: 0.6977 0.3168 0.8571  2 Ga 1.88-1.90
O: 0.2362 0.0765 0.8566  1 Ga 1.91, 1 Ta 2.03
O: 0.3023 0.6832 0.5404  2 Ga 1.88-1.90
O: 0.7638 0.9235 0.7801  1 Ga 1.91, 1 Ta 2.03
O: 0.2362 0.1434 0.2199  1 Ga 1.91, 1 Ta 2.03
O: 0.2362 0.7801 0.9235  1 Ga 1.91, 1 Ta 2.03
O: 0.7638 0.2199 0.1434  1 Ga 1.91, 1 Ta 2.03
O: 0.6977 0.1429 0.4596  2 Ga 1.88-1.90
O: 0.8165 0.6667 0.3333  1 Ga 1.83
O: 0.1835 0.3333 0.6667  1 Ga 1.83
O: 0.6977 0.5404 0.6832  2 Ga 1.88-1.90
O: 0.7638 0.8566 0.0765  1 Ga 1.91, 1 Ta 2.03
O: 0.3023 0.4596 0.1429  2 Ga 1.88-1.90
Ga: 0.5000 0.2435 0.0000  4 O 1.90-1.91
Ga: 0.5000 0.0000 0.2435  4 O 1.90-1.91
Ga: 0.5308 0.3333 0.6667  4 O 1.83-1.88
Ga: 0.4692 0.6667 0.3333  4 O 1.83-1.88
Ga: 0.5000 0.7565 0.7565  4 O 1.90-1.91
La: 0.0000 0.4258 0.4258  6 O 2.45-2.66
La: 0.0000 0.5742 0.0000  6 O 2.45-2.66
La: 0.0000 0.0000 0.5742  6 O 2.45-2.66
Ta: 0.0000 0.0000 0.0000  6 O 2.03

SG: No. 150
Electronic total energy in eV/atom: -7.35
DOS(E_F) in states/eV/atom: 0.19


Record 5
Compound: LaGa2TcO8
Source: Alexandria via LeMat-Bulk
Functional: PBE
Structure: relaxed

a b c (Å): 4.8435 4.8436 6.8301
angles (deg): 82.70 82.69 81.57
Closest atoms and distances in Å follow each position.
Atoms (fractional coordinates):
O: 0.6731 0.6727 0.5061  2 Ga 1.91-1.97
O: 0.2119 0.7933 0.2036  1 Tc 1.92, 1 Ga 1.96
O: 0.2071 0.7884 0.7963  1 Tc 1.92, 1 Ga 1.96
O: 0.2553 0.2558 0.9474  1 Tc 1.85, 1 Ga 1.95
O: 0.7447 0.7442 0.0526  1 Tc 1.85, 1 Ga 1.95
O: 0.7929 0.2116 0.2037  1 Tc 1.92, 1 Ga 1.96
O: 0.7881 0.2067 0.7964  1 Tc 1.92, 1 Ga 1.96
O: 0.3269 0.3273 0.4939  2 Ga 1.91-1.97
Ga: 0.4532 0.4533 0.7175  5 O 1.91-1.97
Ga: 0.5468 0.5467 0.2825  5 O 1.91-1.97
Tc: 0.0000 0.0000 0.0000  6 O 1.85-1.92
La: 0.0000 0.0000 0.5000  6 O 2.39-2.42

SG: No. 12
Electronic total energy in eV/atom: -6.91


Record 6
Compound: LaGaTeO6
Source: Alexandria via LeMat-Bulk
Functional: PBE
Structure: relaxed

a b c (Å): 5.2163 5.2163 10.4989
angles (deg): 90.00 90.00 120.00
Closest atoms and distances in Å follow each position.
Atoms (fractional coordinates):
Ga: 0.3333 0.6667 0.7500  6 O 2.01
Ga: 0.6667 0.3333 0.2500  6 O 2.01
Te: 0.6667 0.3333 0.7500  6 O 1.95
Te: 0.3333 0.6667 0.2500  6 O 1.95
O: 0.9914 0.6242 0.8552  1 Te 1.95, 1 Ga 2.01
O: 0.3673 0.3758 0.3552  1 Te 1.95, 1 Ga 2.01
O: 0.3758 0.3673 0.8552  1 Te 1.95, 1 Ga 2.01
O: 0.0086 0.6327 0.3552  1 Te 1.95, 1 Ga 2.01
O: 0.9914 0.3673 0.6448  1 Te 1.95, 1 Ga 2.01
O: 0.3758 0.0086 0.6448  1 Te 1.95, 1 Ga 2.01
O: 0.6242 0.9914 0.3552  1 Te 1.95, 1 Ga 2.01
O: 0.6242 0.6327 0.1448  1 Te 1.95, 1 Ga 2.01
O: 0.6327 0.6242 0.6448  1 Te 1.95, 1 Ga 2.01
O: 0.3673 0.9914 0.1448  1 Te 1.95, 1 Ga 2.01
O: 0.6327 0.0086 0.8552  1 Te 1.95, 1 Ga 2.01
O: 0.0086 0.3758 0.1448  1 Te 1.95, 1 Ga 2.01
La: 0.0000 0.0000 0.5000  6 O 2.46
La: 0.0000 0.0000 0.0000  6 O 2.46

SG: No. 163
Electronic total energy in eV/atom: -6.58
DOS(E_F) in states/eV/atom: 0.00


Record 7
Compound: La2TiGaO6
Source: Alexandria via LeMat-Bulk
Functional: PBE
Structure: relaxed

a b c (Å): 3.9377 3.9377 7.8952
angles (deg): 90.00 90.00 90.00
Closest atoms and distances in Å follow each position.
Atoms (fractional coordinates):
Ga: 0.5000 0.5000 0.5000  6 O 1.95-1.97
O: 0.5000 0.5000 0.7467  1 Ga 1.95, 1 Ti 2.00
O: 0.5000 0.0000 0.0000  2 Ti 1.97
O: 0.0000 0.5000 0.0000  2 Ti 1.97
O: 0.5000 0.0000 0.5000  2 Ga 1.97
O: 0.0000 0.5000 0.5000  2 Ga 1.97
O: 0.5000 0.5000 0.2533  1 Ga 1.95, 1 Ti 2.00
La: 0.0000 0.0000 0.2540  12 O 2.77-2.81
La: 0.0000 0.0000 0.7460  12 O 2.77-2.81
Ti: 0.5000 0.5000 0.0000  6 O 1.97-2.00

SG: No. 123
Electronic total energy in eV/atom: -7.93
DOS(E_F) in states/eV/atom: 0.32


Record 8
Compound: LaTiGaO5
Source: Alexandria via LeMat-Bulk
Functional: PBE
Structure: relaxed

a b c (Å): 5.7124 5.7124 7.3164
angles (deg): 103.52 103.52 106.85
Closest atoms and distances in Å follow each position.
Atoms (fractional coordinates):
Ti: 0.0000 0.0000 0.0000  6 O 1.92-2.03
Ti: 0.0000 0.0000 0.5000  6 O 1.92-2.03
O: 0.6418 0.7471 0.9219  1 Ga 1.86, 1 Ti 1.99
O: 0.0650 0.9350 0.2500  2 Ti 1.92
O: 0.3582 0.2529 0.0781  1 Ga 1.86, 1 Ti 1.99
O: 0.6931 0.1028 0.4045  1 Ga 1.85, 1 Ti 2.03
O: 0.7471 0.6418 0.4219  1 Ga 1.86, 1 Ti 1.99
O: 0.9350 0.0650 0.7500  2 Ti 1.92
O: 0.2529 0.3582 0.5781  1 Ga 1.86, 1 Ti 1.99
O: 0.1028 0.6931 0.9045  1 Ga 1.85, 1 Ti 2.03
O: 0.3069 0.8972 0.5955  1 Ga 1.85, 1 Ti 2.03
O: 0.8972 0.3069 0.0955  1 Ga 1.85, 1 Ti 2.03
La: 0.3280 0.6720 0.2500  7 O 2.41-2.60
La: 0.6720 0.3280 0.7500  7 O 2.41-2.60
Ga: 0.3168 0.6832 0.7500  4 O 1.85-1.86
Ga: 0.6832 0.3168 0.2500  4 O 1.85-1.86

SG: No. 15
Electronic total energy in eV/atom: -7.93
DOS(E_F) in states/eV/atom: 0.00


Record 9
Compound: La3TiGa5O14
Source: Alexandria via LeMat-Bulk
Functional: PBE
Structure: relaxed

a b c (Å): 8.3094 8.3094 5.1429
angles (deg): 90.00 90.00 120.00
Closest atoms and distances in Å follow each position.
Atoms (fractional coordinates):
O: 0.4568 0.1455 0.3011  2 Ga 1.87-1.89
O: 0.0758 0.8588 0.2353  1 Ga 1.87, 1 Ti 1.99
O: 0.1412 0.2170 0.2353  1 Ga 1.87, 1 Ti 1.99
O: 0.7830 0.9242 0.2353  1 Ga 1.87, 1 Ti 1.99
O: 0.8545 0.3113 0.3011  2 Ga 1.87-1.89
O: 0.5432 0.6887 0.6989  2 Ga 1.87-1.89
O: 0.9242 0.7830 0.7647  1 Ga 1.87, 1 Ti 1.99
O: 0.8588 0.0758 0.7647  1 Ga 1.87, 1 Ti 1.99
O: 0.3333 0.6667 0.1784  1 Ga 1.82
O: 0.6667 0.3333 0.8216  1 Ga 1.82
O: 0.6887 0.5432 0.3011  2 Ga 1.87-1.89
O: 0.3113 0.8545 0.6989  2 Ga 1.87-1.89
O: 0.2170 0.1412 0.7647  1 Ga 1.87, 1 Ti 1.99
O: 0.1455 0.4568 0.6989  2 Ga 1.87-1.89
Ga: 0.2407 0.0000 0.5000  4 O 1.87-1.89
Ga: 0.6667 0.3333 0.4683  4 O 1.82-1.87
Ga: 0.3333 0.6667 0.5317  4 O 1.82-1.87
Ga: 0.7593 0.7593 0.5000  4 O 1.87-1.89
Ga: 0.0000 0.2407 0.5000  4 O 1.87-1.89
La: 0.4214 0.4214 0.0000  6 O 2.41-2.65
La: 0.5786 0.0000 0.0000  6 O 2.41-2.65
La: 0.0000 0.5786 0.0000  6 O 2.41-2.65
Ti: 0.0000 0.0000 0.0000  6 O 1.99

SG: No. 150
Electronic total energy in eV/atom: -7.25
DOS(E_F) in states/eV/atom: 0.00


Record 10
Compound: La8Ti2Ga2O19
Source: Alexandria via LeMat-Bulk
Functional: PBE
Structure: relaxed

a b c (Å): 3.9375 11.1731 11.4088
angles (deg): 89.87 90.00 90.00
Closest atoms and distances in Å follow each position.
Atoms (fractional coordinates):
O: 0.5000 0.7582 0.6226  2 Ti 2.04
O: 0.5000 0.2536 0.8779  2 Ga 2.06
O: 0.5000 0.2373 0.5224  1 Ga 1.78
O: 0.0000 0.9598 0.6681  1 Ti 1.79
O: 0.5000 0.4974 0.6031  4 La 2.38-2.41
O: 0.5000 0.7777 0.2694  1 Ti 1.90
O: 0.0000 0.2834 0.0415  1 Ga 1.94
O: 0.0000 0.7651 0.4636  1 Ti 1.93
O: 0.5000 0.0272 0.3357  1 Ga 1.78
O: 0.0000 0.2166 0.7231  1 Ga 1.99
O: 0.5000 0.9926 0.8989  4 La 2.37-2.46
O: 0.5000 0.2815 0.2515  1 Ga 1.82
O: 0.5000 0.5360 0.1586  1 Ti 1.82
O: 0.0000 0.0113 0.1029  4 La 2.41-2.49
O: 0.0000 0.7368 0.1227  2 Ti 2.02
O: 0.0000 0.4960 0.3965  4 La 2.36-2.56
O: 0.0000 0.7222 0.7736  1 Ti 1.90
O: 0.5000 0.7329 0.9650  1 Ti 1.87
O: 0.0000 0.4617 0.8071  1 Ga 1.88
La: 0.5000 0.1399 0.0584  6 O 2.42-2.55
La: 0.5000 0.6349 0.4400  7 O 2.41-2.56
La: 0.0000 0.8687 0.9375  7 O 2.45-2.57
La: 0.5000 0.5966 0.7890  7 O 2.39-2.62
La: 0.0000 0.8999 0.2836  7 O 2.40-2.59
La: 0.5000 0.0983 0.7181  6 O 2.37-2.57
La: 0.0000 0.4160 0.2050  6 O 2.36-2.53
La: 0.0000 0.3797 0.5853  6 O 2.38-2.63
Ti: 0.5000 0.6948 0.1244  5 O 1.82-2.02
Ti: 0.0000 0.8047 0.6281  3 O 1.79-1.93
Ga: 0.0000 0.3073 0.8727  5 O 1.88-2.06
Ga: 0.5000 0.1807 0.3767  3 O 1.78-1.82

SG: No. 6
Electronic total energy in eV/atom: -8.18
DOS(E_F) in states/eV/atom: 0.00


Record 11
Compound: La3Tm2Ga3O12
Source: Alexandria via LeMat-Bulk
Functional: PBE
Structure: relaxed

a b c (Å): 11.3881 11.3881 11.3881
angles (deg): 109.47 109.47 109.47
Closest atoms and distances in Å follow each position.
Atoms (fractional coordinates):
La: 0.2500 0.8750 0.6250  8 O 2.50-2.62
La: 0.7500 0.1250 0.3750  8 O 2.50-2.62
La: 0.7500 0.6250 0.8750  8 O 2.50-2.62
La: 0.1250 0.2500 0.3750  8 O 2.50-2.62
La: 0.8750 0.7500 0.6250  8 O 2.50-2.62
La: 0.1250 0.3750 0.7500  8 O 2.50-2.62
La: 0.2500 0.3750 0.1250  8 O 2.50-2.62
La: 0.8750 0.6250 0.2500  8 O 2.50-2.62
La: 0.3750 0.7500 0.1250  8 O 2.50-2.62
La: 0.6250 0.8750 0.7500  8 O 2.50-2.62
La: 0.3750 0.1250 0.2500  8 O 2.50-2.62
La: 0.6250 0.2500 0.8750  8 O 2.50-2.62
O: 0.3122 0.8993 0.0249  1 Ga 1.89
O: 0.8993 0.3745 0.5871  1 Ga 1.89
O: 0.8745 0.9751 0.7874  1 Ga 1.89
O: 0.7874 0.8745 0.9751  1 Ga 1.89
O: 0.1255 0.0249 0.2126  1 Ga 1.89
O: 0.0871 0.7126 0.6878  1 Ga 1.89
O: 0.0249 0.2126 0.1255  1 Ga 1.89
O: 0.3745 0.2874 0.4751  1 Ga 1.89
O: 0.1007 0.9751 0.6878  1 Ga 1.89
O: 0.0871 0.8745 0.3993  1 Ga 1.89
O: 0.6878 0.1007 0.9751  1 Ga 1.89
O: 0.1255 0.6007 0.9129  1 Ga 1.89
O: 0.5871 0.8993 0.3745  1 Ga 1.89
O: 0.9129 0.2874 0.3122  1 Ga 1.89
O: 0.3122 0.9129 0.2874  1 Ga 1.89
O: 0.0249 0.3122 0.8993  1 Ga 1.89
O: 0.1878 0.2126 0.5871  1 Ga 1.89
O: 0.7126 0.6878 0.0871  1 Ga 1.89
O: 0.6255 0.4129 0.1007  1 Ga 1.89
O: 0.8122 0.7874 0.4129  1 Ga 1.89
O: 0.5249 0.3993 0.8122  1 Ga 1.89
O: 0.8122 0.5249 0.3993  1 Ga 1.89
O: 0.4751 0.6007 0.1878  1 Ga 1.89
O: 0.7126 0.5249 0.6255  1 Ga 1.89
O: 0.7874 0.4129 0.8122  1 Ga 1.89
O: 0.6007 0.1878 0.4751  1 Ga 1.89
O: 0.4129 0.8122 0.7874  1 Ga 1.89
O: 0.4751 0.3745 0.2874  1 Ga 1.89
O: 0.3993 0.0871 0.8745  1 Ga 1.89
O: 0.5871 0.1878 0.2126  1 Ga 1.89
O: 0.3745 0.5871 0.8993  1 Ga 1.89
O: 0.3993 0.8122 0.5249  1 Ga 1.89
O: 0.2874 0.3122 0.9129  1 Ga 1.89
O: 0.4129 0.1007 0.6255  1 Ga 1.89
O: 0.2126 0.1255 0.0249  1 Ga 1.89
O: 0.2874 0.4751 0.3745  1 Ga 1.89
O: 0.5249 0.6255 0.7126  1 Ga 1.89
O: 0.6255 0.7126 0.5249  1 Ga 1.89
O: 0.8993 0.0249 0.3122  1 Ga 1.89
O: 0.9751 0.6878 0.1007  1 Ga 1.89
O: 0.6878 0.0871 0.7126  1 Ga 1.89
O: 0.9751 0.7874 0.8745  1 Ga 1.89
O: 0.2126 0.5871 0.1878  1 Ga 1.89
O: 0.6007 0.9129 0.1255  1 Ga 1.89
O: 0.1007 0.6255 0.4129  1 Ga 1.89
O: 0.8745 0.3993 0.0871  1 Ga 1.89
O: 0.9129 0.1255 0.6007  1 Ga 1.89
O: 0.1878 0.4751 0.6007  1 Ga 1.89
Tm: 0.5000 0.5000 0.0000  6 O 2.23
Tm: 0.5000 0.0000 0.5000  6 O 2.23
Tm: 0.5000 0.5000 0.5000  6 O 2.23
Tm: 0.0000 0.0000 0.5000  6 O 2.23
Tm: 0.5000 0.0000 0.0000  6 O 2.23
Tm: 0.0000 0.0000 0.0000  6 O 2.23
Tm: 0.0000 0.5000 0.5000  6 O 2.23
Tm: 0.0000 0.5000 0.0000  6 O 2.23
Ga: 0.3750 0.2500 0.6250  4 O 1.89
Ga: 0.6250 0.7500 0.3750  4 O 1.89
Ga: 0.8750 0.1250 0.7500  4 O 1.89
Ga: 0.7500 0.8750 0.1250  4 O 1.89
Ga: 0.3750 0.6250 0.7500  4 O 1.89
Ga: 0.2500 0.1250 0.8750  4 O 1.89
Ga: 0.1250 0.7500 0.8750  4 O 1.89
Ga: 0.2500 0.6250 0.3750  4 O 1.89
Ga: 0.6250 0.3750 0.2500  4 O 1.89
Ga: 0.8750 0.2500 0.1250  4 O 1.89
Ga: 0.1250 0.8750 0.2500  4 O 1.89
Ga: 0.7500 0.3750 0.6250  4 O 1.89

SG: No. 230
Electronic total energy in eV/atom: -7.60
DOS(E_F) in states/eV/atom: 0.00


Record 12
Compound: LaUGa2O8
Source: Alexandria via LeMat-Bulk
Functional: PBE
Structure: relaxed

a b c (Å): 4.7843 4.7917 7.2932
angles (deg): 92.82 92.72 87.04
Closest atoms and distances in Å follow each position.
Atoms (fractional coordinates):
O: 0.3132 0.3120 0.0102  2 Ga 1.96-2.00, 1 U 2.17
O: 0.8018 0.2023 0.2166  1 Ga 1.99, 1 U 2.06
O: 0.6535 0.6566 0.4426  1 Ga 1.89
O: 0.3465 0.3434 0.5574  1 Ga 1.89
O: 0.7994 0.1992 0.7841  1 Ga 1.99, 1 U 2.05
O: 0.1982 0.7977 0.7834  1 Ga 1.99, 1 U 2.06
O: 0.6868 0.6880 0.9898  2 Ga 1.96-2.00, 1 U 2.17
O: 0.2006 0.8008 0.2159  1 Ga 1.99, 1 U 2.05
La: 0.0000 0.0000 0.5000  6 O 2.40-2.46
Ga: 0.4687 0.4686 0.7965  5 O 1.89-2.00
Ga: 0.5313 0.5314 0.2035  5 O 1.89-2.00
U: 0.0000 0.0000 0.0000  6 O 2.05-2.17

SG: No. 2
Electronic total energy in eV/atom: -7.54
DOS(E_F) in states/eV/atom: 0.05


Which of these has the highest electronic total energy?
SrLa2GaO